Density functional theory data (PBEsol) for a relaxed structure of Mo11Ir4.

The structure belongs to space group P4_2/mnm (No. 136); the cell edges are 9.590, 9.590 and 4.921 Å and the angles 90.00°, 90.00° and 90.00°. The asymmetric unit holds Mo at (0.000, 0.000, 0.000), Mo at (0.037, 0.370, 0.500), Mo at (0.106, 0.106, 0.500), Mo at (0.180, 0.820, 0.249) and Ir at (0.070, 0.267, 0.000).

The density of states at the Fermi level is 29.04 states/eV/cell. For the total moment, the calculation gives 0.00 Bohr magnetons per cell. For the energy of formation from the pure elements, the calculation gives -109.3 meV/atom.